Below is crystalline SiSeN at its relaxed geometry, with properties calculated at the PBE-GGA level.

a b c (Å): 2.9505 2.9508 6.9533
angles (deg): 95.45 90.12 119.30
Atoms (fractional coordinates):
Si (0.0000, 0.0000, 0.0000)
Se (0.0524, 0.0961, 0.3328)
N (0.6541, 0.3122, 0.9247)

Properties
E_tot: -6.185 eV/atom
raw formation energy: -127.5 kJ/mol of formula units
relative energy among the computed polymorphs: 0.0000 eV per atom
DOS(E_F): 0.45 states/eV per cell
density: 3.83 g/cm3



Below is crystalline Sr2ErGa3Au4 at its relaxed geometry, with properties calculated at the PBE-GGA level.

a b c (Å): 4.5447 4.5447 11.3973
angles (deg): 90.00 90.00 90.00
Atoms (fractional coordinates):
Sr (0.0000, 0.5000, 0.2267)
Sr (0.5000, 0.0000, 0.7733)
Er (0.0000, 0.0000, 0.5000)
Ga (0.0000, 0.5000, 0.8813)
Ga (0.5000, 0.0000, 0.1187)
Ga (0.5000, 0.5000, 0.5000)
Au (0.0000, 0.0000, 0.0000)
Au (0.0000, 0.5000, 0.6544)
Au (0.5000, 0.0000, 0.3456)
Au (0.5000, 0.5000, 0.0000)

Properties
E_tot: -3.648 eV/atom
DOS(E_F): 6.36 states/eV per cell
density: 9.45 g/cm3



> Among the records above, which one has the lowest density?

SiSeN